1.
A relaxed structure of TaCdSb2. Source: Alexandria, functional PBE-GGA.

The structure in POSCAR format:
```
TaCdSb2
1.0
-1.480 -0.947 2.559
-1.523 -1.242 -2.403
6.145 -8.395 0.446
Ta Cd Sb
1 1 2
direct
0.000 0.000 0.509
0.500 0.500 0.729
0.500 0.500 0.299
0.000 0.000 0.963
```

Properties
- E above lowest polymorph (meV/atom) = 127.1
- space group = No. 35
- spin magnetization (μB per atom) = 0.000
- E_form (uncorrected) (eV per atom) = 0.2476

---

2.
A relaxed structure of Ta2CdSb. Source: Alexandria, functional PBE-GGA.

The structure in POSCAR format:
```
Ta2CdSb
1.0
-1.527 2.168 1.259
0.896 -0.905 2.646
8.677 6.523 -0.709
Ta Sb Cd
2 1 1
direct
0.500 0.500 0.228
0.000 0.000 0.020
0.500 0.500 0.813
0.000 0.000 0.438
```

Properties
- E above lowest polymorph (meV/atom) = 103.1
- space group = No. 99
- spin magnetization (μB per atom) = 0.000
- E_form (uncorrected) (eV per atom) = 0.2622

---

3.
A relaxed structure of Ta2CdSb. Source: Alexandria, functional PBE-GGA.

The structure in POSCAR format:
```
Ta2CdSb
1.0
2.998 0.000 0.000
0.000 4.413 0.000
0.000 0.000 5.967
Cd Ta Sb
1 2 1
direct
0.500 0.500 0.250
0.000 0.000 0.504
0.000 0.000 0.996
0.500 0.500 0.750
```

Properties
- E above lowest polymorph (meV/atom) = 258.1
- space group = No. 47
- spin magnetization (μB per atom) = 0.000
- E_form (uncorrected) (eV per atom) = 0.4172

---

4.
A relaxed structure of TaCdSb. Source: Alexandria, functional PBE-GGA.

The structure in POSCAR format:
```
TaCdSb
1.0
4.705 0.000 0.000
2.352 4.075 0.000
2.352 1.358 3.842
Ta Sb Cd
1 1 1
direct
0.000 0.000 0.000
0.750 0.750 0.750
0.500 0.500 0.500
```

Properties
- E above lowest polymorph (meV/atom) = 574.2
- space group = No. 216
- spin magnetization (μB per atom) = 0.002
- E_form (uncorrected) (eV per atom) = 0.8321

---

5.
A relaxed structure of Ta2CdSb. Source: Alexandria, functional PBE-GGA.

The structure in POSCAR format:
```
Ta2CdSb
1.0
-1.372 -0.381 -5.159
-3.907 -0.755 -3.579
-1.246 4.979 -0.819
Ta Sb Cd
2 1 1
direct
0.746 0.746 0.739
0.001 0.001 0.007
0.258 0.258 0.231
0.495 0.495 0.523
```

Properties
- E above lowest polymorph (meV/atom) = 187.5
- space group = No. 8
- spin magnetization (μB per atom) = 0.000
- E_form (uncorrected) (eV per atom) = 0.3465

---

6.
A relaxed structure of Ta2CdSb. Source: Alexandria, functional PBE-GGA.

The structure in POSCAR format:
```
Ta2CdSb
1.0
5.486 -0.005 -0.009
2.217 5.018 0.009
-3.384 -3.226 2.871
Ta Cd Sb
2 1 1
direct
0.993 0.993 0.000
0.507 0.507 0.000
0.250 0.750 0.500
0.750 0.250 0.500
```

Properties
- E above lowest polymorph (meV/atom) = 152.2
- space group = No. 71
- spin magnetization (μB per atom) = 0.000
- E_form (uncorrected) (eV per atom) = 0.3113

---

7.
A relaxed structure of Ta2CdSb. Source: Alexandria, functional PBE-GGA.

The structure in POSCAR format:
```
Ta2CdSb
1.0
-1.561 -5.328 0.477
2.065 -3.476 -3.835
1.499 3.638 3.947
Ta Cd Sb
2 1 1
direct
0.234 0.734 0.500
0.008 0.008 0.000
0.498 0.498 0.000
0.760 0.260 0.500
```

Properties
- E above lowest polymorph (meV/atom) = 152.4
- space group = No. 44
- spin magnetization (μB per atom) = 0.000
- E_form (uncorrected) (eV per atom) = 0.3114

---

8.
A relaxed structure of TaCdSb. Source: Alexandria, functional PBE-GGA.

The structure in POSCAR format:
```
TaCdSb
1.0
-4.409 1.256 -1.210
-1.182 0.393 -4.575
-2.912 -3.177 -1.978
Sb Cd Ta
1 1 1
direct
0.500 0.500 0.500
0.000 0.000 0.000
0.750 0.750 0.750
```

Properties
- E above lowest polymorph (meV/atom) = 356.6
- space group = No. 216
- spin magnetization (μB per atom) = 0.590
- E_form (uncorrected) (eV per atom) = 0.6145

---

Which formula does entry 5 have?
Ta2CdSb